Compound: V6O5F19
Source: the Alexandria database
Functional: GGA+U
Structure: relaxed

- Calculated total energy: -0.4304 Ry/atom
- Magnetic moment: 0.0333 μB/atom

```
data_V6O5F19
_chemical_formula_sum 'V6 O5 F19'
_space_group_name_H-M_alt 'P 1'
_space_group_IT_number 1
_cell_length_a 5.455
_cell_length_b 5.608
_cell_length_c 14.708
_cell_angle_alpha 79.25
_cell_angle_beta 89.31
_cell_angle_gamma 86.80
loop_
_space_group_symop_operation_xyz
'x,y,z'
loop_
_atom_site_label
_atom_site_type_symbol
_atom_site_fract_x
_atom_site_fract_y
_atom_site_fract_z
V1 V 0.000 0.000 0.000
V2 V 0.004 0.334 0.335
V3 V 0.096 0.810 0.662
V4 V 0.501 0.841 0.325
V5 V 0.528 0.533 0.996
V6 V 0.537 0.298 0.662
O1 O 0.279 0.037 0.645
O2 O 0.297 0.664 0.303
O3 O 0.341 0.539 0.640
O4 O 0.807 0.783 0.013
O5 O 0.820 0.116 0.357
F1 F 0.126 0.983 0.111
F2 F 0.137 0.344 0.444
F3 F 0.139 0.666 0.779
F4 F 0.289 0.327 0.981
F5 F 0.289 0.818 0.969
F6 F 0.297 0.146 0.305
F7 F 0.472 0.838 0.445
F8 F 0.477 0.178 0.780
F9 F 0.486 0.526 0.116
F10 F 0.625 0.254 0.550
F11 F 0.632 0.596 0.880
F12 F 0.641 0.947 0.217
F13 F 0.776 0.602 0.355
F14 F 0.779 0.259 0.025
F15 F 0.805 0.952 0.691
F16 F 0.810 0.438 0.684
F17 F 0.972 0.446 0.215
F18 F 0.980 0.132 0.882
F19 F 0.988 0.786 0.552
```